No. 1
Ti5Ga3O after structural relaxation. Source: Alexandria via LeMat-Bulk, functional PBE.

## Properties
- energy relative to the elements, uncorrected (kJ per mole of atoms) = -92.99
- E_tot (eV per atom) = -6.91

Cell lengths 5.308, 7.584, 7.584 Å; angles 120.00, 90.00, 90.00 degrees
Fractional coordinates of all 18 atoms:
Ti (0.000, 0.333, 0.667)
Ti (0.500, 0.667, 0.333)
Ti (0.000, 0.667, 0.333)
Ti (0.500, 0.333, 0.667)
Ti (0.750, 0.770, 0.000)
Ti (0.750, 0.230, 0.230)
Ti (0.750, 0.000, 0.770)
Ti (0.250, 0.230, 0.000)
Ti (0.250, 0.770, 0.770)
Ti (0.250, 0.000, 0.230)
Ga (0.750, 0.404, 0.000)
Ga (0.750, 0.596, 0.596)
Ga (0.750, 0.000, 0.404)
Ga (0.250, 0.596, 0.000)
Ga (0.250, 0.404, 0.404)
Ga (0.250, 0.000, 0.596)
O (0.000, 0.000, 0.000)
O (0.500, 0.000, 0.000)


No. 2
Ti2Ga2O7 after structural relaxation. Source: Alexandria via LeMat-Bulk, functional PBE.

## Properties
- energy relative to the elements, uncorrected (kJ per mole of atoms) = -234.68
- E_tot (eV per atom) = -7.57

Cell lengths 5.268, 5.580, 9.983 Å; angles 90.00, 90.00, 99.59 degrees
Fractional coordinates of all 22 atoms:
Ti (0.832, 0.672, 0.887)
Ti (0.168, 0.328, 0.113)
Ti (0.832, 0.172, 0.613)
Ti (0.168, 0.828, 0.387)
Ga (0.671, 0.839, 0.190)
Ga (0.329, 0.661, 0.690)
Ga (0.329, 0.161, 0.810)
Ga (0.671, 0.339, 0.310)
O (0.000, 0.000, 0.500)
O (0.000, 0.500, 0.000)
O (0.308, 0.151, 0.996)
O (0.692, 0.349, 0.496)
O (0.692, 0.849, 0.004)
O (0.308, 0.651, 0.504)
O (0.092, 0.344, 0.721)
O (0.092, 0.844, 0.779)
O (0.908, 0.156, 0.221)
O (0.908, 0.656, 0.279)
O (0.564, 0.987, 0.715)
O (0.564, 0.487, 0.785)
O (0.436, 0.513, 0.215)
O (0.436, 0.013, 0.285)


No. 3
TiGaO4 after structural relaxation. Source: Alexandria via LeMat-Bulk, functional PBE.

## Properties
- energy relative to the elements, uncorrected (kJ per mole of atoms) = -192.36
- E_tot (eV per atom) = -7.12

Cell lengths 5.684, 5.684, 6.241 Å; angles 90.00, 90.00, 69.85 degrees
Last column: magnetic moment on the atom in μB.
Fractional coordinates of all 12 atoms:
Ti (0.450, 0.450, 0.750)  -0.07
Ti (0.550, 0.550, 0.250)  -0.07
Ga (0.778, 0.778, 0.750)  -0.01
Ga (0.222, 0.222, 0.250)  -0.01
O (0.882, 0.344, 0.250)  0.21
O (0.118, 0.656, 0.750)  0.21
O (0.344, 0.882, 0.250)  0.21
O (0.656, 0.118, 0.750)  0.21
O (0.626, 0.626, 0.552)  0.23
O (0.374, 0.374, 0.052)  0.23
O (0.626, 0.626, 0.948)  0.23
O (0.374, 0.374, 0.448)  0.23


No. 4
TiGaO3 after structural relaxation. Source: Alexandria via LeMat-Bulk, functional PBE.

## Properties
- energy relative to the elements, uncorrected (kJ per mole of atoms) = -135.70
- E_tot (eV per atom) = -6.57

Cell lengths 3.732, 3.732, 3.732 Å; angles 90.00, 90.00, 90.00 degrees
Last column: magnetic moment on the atom in μB.
Fractional coordinates of all 5 atoms:
O (0.000, 0.500, 0.000)  -0.08
O (0.000, 0.000, 0.500)  -0.06
O (0.500, 0.000, 0.000)  -0.05
Ga (0.000, 0.000, 0.000)  0.01
Ti (0.500, 0.500, 0.500)  1.09


No. 5
Ti6Ga2O after structural relaxation. Source: Alexandria via LeMat-Bulk, functional PBE.

## Properties
- energy relative to the elements, uncorrected (kJ per mole of atoms) = -84.62
- E_tot (eV per atom) = -7.36
- distance to the lowest polymorph of the same formula (meV/atom) = 0

Cell lengths 5.761, 5.761, 8.111 Å; angles 90.00, 90.00, 90.00 degrees
Fractional coordinates of all 18 atoms:
Ti (0.000, 0.000, 0.240)
Ti (0.740, 0.741, 0.500)
Ti (0.759, 0.759, 0.000)
Ti (0.741, 0.259, 0.500)
Ti (0.760, 0.241, 0.000)
Ti (0.500, 0.500, 0.260)
Ti (0.000, 0.000, 0.760)
Ti (0.260, 0.259, 0.500)
Ti (0.241, 0.241, 0.000)
Ti (0.259, 0.741, 0.500)
Ti (0.240, 0.759, 0.000)
Ti (0.500, 0.500, 0.740)
Ga (0.000, 0.500, 0.750)
Ga (0.500, 0.000, 0.750)
Ga (0.500, 0.000, 0.250)
Ga (0.000, 0.500, 0.250)
O (0.500, 0.500, 0.000)
O (0.000, 0.000, 0.500)


No. 6
Ti3Ga5O12 after structural relaxation. Source: Alexandria via LeMat-Bulk, functional PBE.

## Properties
- energy relative to the elements, uncorrected (kJ per mole of atoms) = -198.86
- E_tot (eV per atom) = -6.98

Cell lengths 10.345, 10.345, 10.345 Å; angles 109.47, 109.47, 109.47 degrees
Last column: magnetic moment on the atom in μB.
Fractional coordinates of all 80 atoms:
Ti (0.750, 0.375, 0.125)  0.92
Ti (0.875, 0.750, 0.125)  0.92
Ti (0.375, 0.750, 0.625)  0.92
Ti (0.250, 0.125, 0.375)  0.92
Ti (0.875, 0.125, 0.250)  0.92
Ti (0.375, 0.625, 0.250)  0.92
Ti (0.625, 0.375, 0.750)  0.92
Ti (0.125, 0.875, 0.750)  0.92
Ti (0.750, 0.875, 0.625)  0.92
Ti (0.625, 0.250, 0.375)  0.92
Ti (0.125, 0.250, 0.875)  0.92
Ti (0.250, 0.625, 0.875)  0.92
Ga (0.125, 0.375, 0.250)  0.01
Ga (0.000, 0.500, 0.000)  0.01
Ga (0.000, 0.000, 0.000)  0.01
Ga (0.375, 0.250, 0.125)  0.01
Ga (0.500, 0.000, 0.500)  0.01
Ga (0.500, 0.500, 0.000)  0.01
Ga (0.125, 0.750, 0.375)  0.01
Ga (0.750, 0.125, 0.875)  0.01
Ga (0.750, 0.625, 0.375)  0.01
Ga (0.375, 0.125, 0.750)  0.01
Ga (0.625, 0.875, 0.250)  0.01
Ga (0.500, 0.500, 0.500)  0.01
Ga (0.500, 0.000, 0.000)  0.01
Ga (0.000, 0.000, 0.500)  0.01
Ga (0.250, 0.375, 0.625)  0.01
Ga (0.250, 0.875, 0.125)  0.01
Ga (0.000, 0.500, 0.500)  0.01
Ga (0.875, 0.250, 0.625)  0.01
Ga (0.625, 0.750, 0.875)  0.01
Ga (0.875, 0.625, 0.750)  0.01
O (0.716, 0.130, 0.040)  -0.01
O (0.324, 0.540, 0.410)  -0.01
O (0.960, 0.370, 0.284)  -0.01
O (0.540, 0.216, 0.130)  -0.01
O (0.586, 0.716, 0.676)  -0.01
O (0.960, 0.590, 0.176)  -0.01
O (0.324, 0.784, 0.414)  -0.01
O (0.090, 0.914, 0.130)  -0.01
O (0.590, 0.960, 0.676)  -0.01
O (0.716, 0.586, 0.176)  -0.01
O (0.784, 0.460, 0.370)  -0.01
O (0.824, 0.910, 0.040)  -0.01
O (0.130, 0.716, 0.540)  -0.01
O (0.370, 0.410, 0.086)  -0.01
O (0.086, 0.910, 0.370)  -0.01
O (0.414, 0.130, 0.590)  -0.01
O (0.086, 0.176, 0.216)  -0.01
O (0.460, 0.676, 0.090)  -0.01
O (0.824, 0.914, 0.284)  -0.01
O (0.130, 0.414, 0.090)  -0.01
O (0.370, 0.960, 0.784)  -0.01
O (0.590, 0.630, 0.414)  -0.01
O (0.910, 0.824, 0.540)  -0.01
O (0.784, 0.324, 0.914)  -0.01
O (0.410, 0.370, 0.586)  -0.01
O (0.090, 0.176, 0.460)  -0.01
O (0.216, 0.676, 0.086)  -0.01
O (0.176, 0.086, 0.716)  -0.01
O (0.630, 0.040, 0.216)  -0.01
O (0.870, 0.586, 0.910)  -0.01
O (0.540, 0.324, 0.910)  -0.01
O (0.586, 0.870, 0.410)  -0.01
O (0.914, 0.824, 0.784)  -0.01
O (0.914, 0.090, 0.630)  -0.01
O (0.870, 0.284, 0.460)  -0.01
O (0.176, 0.090, 0.960)  -0.01
O (0.630, 0.590, 0.914)  -0.01
O (0.410, 0.040, 0.324)  -0.01
O (0.284, 0.414, 0.824)  -0.01
O (0.216, 0.540, 0.630)  -0.01
O (0.910, 0.086, 0.870)  -0.01
O (0.676, 0.216, 0.586)  -0.01
O (0.460, 0.784, 0.870)  -0.01
O (0.040, 0.410, 0.824)  -0.01
O (0.414, 0.284, 0.324)  -0.01
O (0.040, 0.630, 0.716)  -0.01
O (0.676, 0.460, 0.590)  -0.01
O (0.284, 0.870, 0.960)  -0.01


No. 7
Ti8GaO2 after structural relaxation. Source: Alexandria via LeMat-Bulk, functional PBE.

## Properties
- energy relative to the elements, uncorrected (kJ per mole of atoms) = -81.94
- E_tot (eV per atom) = -7.77

Cell lengths 4.303, 6.583, 6.583 Å; angles 120.52, 91.94, 91.94 degrees
Fractional coordinates of all 11 atoms:
Ti (0.937, 0.876, 0.613)
Ti (0.937, 0.613, 0.876)
Ti (0.361, 0.624, 0.624)
Ti (0.500, 0.754, 0.246)
Ti (0.500, 0.246, 0.754)
Ti (0.639, 0.376, 0.376)
Ti (0.063, 0.387, 0.124)
Ti (0.063, 0.124, 0.387)
Ga (0.500, 0.000, 0.000)
O (0.000, 0.243, 0.757)
O (0.000, 0.757, 0.243)


No. 8
Ti6Ga2O after structural relaxation. Source: Alexandria via LeMat-Bulk, functional PBE.

## Properties
- energy relative to the elements, uncorrected (kJ per mole of atoms) = -65.15
- E_tot (eV per atom) = -7.16
- distance to the lowest polymorph of the same formula (meV/atom) = 202

Cell lengths 3.062, 7.250, 7.069 Å; angles 120.85, 90.00, 90.00 degrees
Fractional coordinates of all 9 atoms:
Ti (0.500, 0.578, 0.000)
Ti (0.500, 0.394, 0.397)
Ti (0.500, 0.997, 0.603)
Ti (0.000, 0.246, 0.000)
Ti (0.000, 0.761, 0.772)
Ti (0.000, 0.989, 0.228)
Ga (0.000, 0.324, 0.657)
Ga (0.000, 0.666, 0.343)
O (0.500, 0.044, 0.000)


No. 9
Ti6Ga3O after structural relaxation. Source: Alexandria via LeMat-Bulk, functional PBE.

## Properties
- energy relative to the elements, uncorrected (kJ per mole of atoms) = -68.01
- E_tot (eV per atom) = -6.85

Cell lengths 5.272, 7.890, 7.890 Å; angles 100.64, 90.00, 90.00 degrees
Fractional coordinates of all 20 atoms:
Ti (0.154, 0.784, 0.671)
Ti (0.654, 0.671, 0.784)
Ti (0.229, 0.453, 0.875)
Ti (0.729, 0.875, 0.453)
Ti (0.009, 0.092, 0.908)
Ti (0.707, 0.307, 0.693)
Ti (0.207, 0.693, 0.307)
Ti (0.509, 0.908, 0.092)
Ti (0.229, 0.125, 0.547)
Ti (0.729, 0.547, 0.125)
Ti (0.154, 0.329, 0.216)
Ti (0.654, 0.216, 0.329)
Ga (0.536, 0.992, 0.763)
Ga (0.036, 0.763, 0.992)
Ga (0.381, 0.477, 0.523)
Ga (0.881, 0.523, 0.477)
Ga (0.036, 0.008, 0.237)
Ga (0.536, 0.237, 0.008)
O (0.050, 0.254, 0.746)
O (0.550, 0.746, 0.254)


Question: Look up the E_tot of the ninth one.
Answer: -6.85 eV per atom


Question: Among the records above, which one has the highest E_tot?
Answer: TiGaO3


Question: Among the records above, which one has the highest energy relative to the elements, uncorrected?
Answer: number 8